The following is a GGA-PBE calculation of a geometry-optimized Mg2ZrCu structure, from the Alexandria database.

Lattice parameters (Å, degrees): 5.399 5.399 5.399 106.97 106.97 31.59
Positions (direct):
Mg1 0.000 0.000 0.000
Mg2 0.228 0.228 0.803
Zr1 0.788 0.788 0.342
Cu1 0.530 0.530 0.471

## Properties
Its volume is 19.6 A^3/atom. The value obtained for the raw total energy is -3.871 eV/atom. As for the formation energy: 0.087 eV/atom.